Model one:
Crystalline Pm2PrHg at its relaxed geometry. Source: Alexandria via LeMat-Bulk, functional PBE.

Structure (CIF):
```
data_Pm2PrHg
_space_group_name_H-M_alt 'R -3 m'
_space_group_IT_number 166
_space_group_name_Hall '-R 3 2"'
_cell_length_a 3.5601
_cell_length_b 3.5601
_cell_length_c 35.9634
_cell_angle_alpha 90.00
_cell_angle_beta 90.00
_cell_angle_gamma 120.00
loop_
_atom_site_label
_atom_site_type_symbol
_atom_site_fract_x
_atom_site_fract_y
_atom_site_fract_z
_atom_site_occupancy
Pm1 Pm 0.0000 0.0000 0.0969 1
Pr1 Pr 0.0000 0.0000 0.0000 1
Hg1 Hg 0.0000 0.0000 0.5000 1
```



Model two:
Crystalline Pm2PrHg at its relaxed geometry. Source: Alexandria via LeMat-Bulk, functional PBE.

Structure (CIF):
```
data_Pm2PrHg
_space_group_name_H-M_alt 'P 4/m m m'
_space_group_IT_number 123
_space_group_name_Hall '-P 4 2'
_cell_length_a 4.9440
_cell_length_b 4.9440
_cell_length_c 4.9380
_cell_angle_alpha 90.00
_cell_angle_beta 90.00
_cell_angle_gamma 90.00
loop_
_atom_site_label
_atom_site_type_symbol
_atom_site_fract_x
_atom_site_fract_y
_atom_site_fract_z
_atom_site_occupancy
Pm1 Pm 0.0000 0.5000 0.0000 1
Pr1 Pr 0.0000 0.0000 0.5000 1
Hg1 Hg 0.5000 0.5000 0.5000 1
```



Short version: model two is the most stable of them.



Model one:
Crystalline PmPr2Hg2 at its relaxed geometry. Source: Alexandria via LeMat-Bulk, functional PBE.

Structure (CIF):
```
data_PmPr2Hg2
_space_group_name_H-M_alt 'P 1 21/m 1'
_space_group_IT_number 11
_space_group_name_Hall '-P 2yb'
_cell_length_a 3.8604
_cell_length_b 5.4897
_cell_length_c 14.2706
_cell_angle_alpha 90.00
_cell_angle_beta 97.80
_cell_angle_gamma 90.00
loop_
_atom_site_label
_atom_site_type_symbol
_atom_site_fract_x
_atom_site_fract_y
_atom_site_fract_z
_atom_site_occupancy
Pm1 Pm 0.1463 0.2500 0.2900 1
Pr1 Pr 0.0467 0.7500 0.0918 1
Pr2 Pr 0.2333 0.7500 0.4697 1
Hg1 Hg 0.3585 0.2500 0.7157 1
Hg2 Hg 0.4474 0.7500 0.8972 1
```



Model two:
Crystalline PmPr2Hg2 at its relaxed geometry. Source: Alexandria via LeMat-Bulk, functional PBE.

Structure (CIF):
```
data_PmPr2Hg2
_space_group_name_H-M_alt 'I m m m'
_space_group_IT_number 71
_space_group_name_Hall '-I 2 2'
_cell_length_a 4.9271
_cell_length_b 7.2435
_cell_length_c 8.5360
_cell_angle_alpha 90.00
_cell_angle_beta 90.00
_cell_angle_gamma 90.00
loop_
_atom_site_label
_atom_site_type_symbol
_atom_site_fract_x
_atom_site_fract_y
_atom_site_fract_z
_atom_site_occupancy
Pm1 Pm 0.0000 0.0000 0.0000 1
Pr1 Pr 0.0000 0.5000 0.1924 1
Hg1 Hg 0.0000 0.2154 0.5000 1
```



Short version: model one is the most stable of them.



Model one:
Crystalline PmPrHg2 at its relaxed geometry. Source: Alexandria via LeMat-Bulk, functional PBE.

Structure (CIF):
```
data_PmPrHg2
_space_group_name_H-M_alt 'R -3 m'
_space_group_IT_number 166
_space_group_name_Hall '-R 3 2"'
_cell_length_a 3.8641
_cell_length_b 3.8641
_cell_length_c 28.5790
_cell_angle_alpha 90.00
_cell_angle_beta 90.00
_cell_angle_gamma 120.00
loop_
_atom_site_label
_atom_site_type_symbol
_atom_site_fract_x
_atom_site_fract_y
_atom_site_fract_z
_atom_site_occupancy
Pm1 Pm 0.0000 0.0000 0.0000 1
Pr1 Pr 0.0000 0.0000 0.5000 1
Hg1 Hg 0.0000 0.0000 0.2515 1
```



Model two:
Crystalline PmPrHg2 at its relaxed geometry. Source: Alexandria via LeMat-Bulk, functional PBE.

Structure (CIF):
```
data_PmPrHg2
_space_group_name_H-M_alt 'P 4/m m m'
_space_group_IT_number 123
_space_group_name_Hall '-P 4 2'
_cell_length_a 3.8356
_cell_length_b 3.8356
_cell_length_c 7.6946
_cell_angle_alpha 90.00
_cell_angle_beta 90.00
_cell_angle_gamma 90.00
loop_
_atom_site_label
_atom_site_type_symbol
_atom_site_fract_x
_atom_site_fract_y
_atom_site_fract_z
_atom_site_occupancy
Pm1 Pm 0.0000 0.0000 0.0000 1
Pr1 Pr 0.0000 0.0000 0.5000 1
Hg1 Hg 0.5000 0.5000 0.2419 1
```



Model three:
Crystalline PmPrHg2 at its relaxed geometry. Source: Alexandria via LeMat-Bulk, functional PBE.

Structure (CIF):
```
data_PmPrHg2
_space_group_name_H-M_alt 'R 3 m'
_space_group_IT_number 160
_space_group_name_Hall 'R 3 -2"'
_cell_length_a 3.9015
_cell_length_b 3.9015
_cell_length_c 27.9666
_cell_angle_alpha 90.00
_cell_angle_beta 90.00
_cell_angle_gamma 120.00
loop_
_atom_site_label
_atom_site_type_symbol
_atom_site_fract_x
_atom_site_fract_y
_atom_site_fract_z
_atom_site_occupancy
Pm1 Pm 0.0000 0.0000 0.0000 1
Pr1 Pr 0.0000 0.0000 0.8337 1
Hg1 Hg 0.0000 0.0000 0.4155 1
Hg2 Hg 0.0000 0.0000 0.5850 1
```



Short version: model two is the most stable of them.



Model one:
Crystalline PmPrHg3 at its relaxed geometry. Source: Alexandria via LeMat-Bulk, functional PBE.

Structure (CIF):
```
data_PmPrHg3
_space_group_name_H-M_alt 'C m c m'
_space_group_IT_number 63
_space_group_name_Hall '-C 2c 2'
_cell_length_a 16.5409
_cell_length_b 8.2489
_cell_length_c 8.2431
_cell_angle_alpha 90.00
_cell_angle_beta 90.00
_cell_angle_gamma 90.00
loop_
_atom_site_label
_atom_site_type_symbol
_atom_site_fract_x
_atom_site_fract_y
_atom_site_fract_z
_atom_site_occupancy
Pm1 Pm 0.2219 0.2027 0.2500 1
Pr1 Pr 0.0000 0.0968 0.2500 1
Pr2 Pr 0.0000 0.4367 0.7500 1
Hg1 Hg 0.1089 0.1688 0.5689 1
Hg2 Hg 0.1707 0.5000 0.0000 1
```



Model two:
Crystalline PmPrHg3 at its relaxed geometry. Source: Alexandria via LeMat-Bulk, functional PBE.

Structure (CIF):
```
data_PmPrHg3
_space_group_name_H-M_alt 'C m c m'
_space_group_IT_number 63
_space_group_name_Hall '-C 2c 2'
_cell_length_a 7.2049
_cell_length_b 12.4646
_cell_length_c 6.8285
_cell_angle_alpha 90.00
_cell_angle_beta 90.00
_cell_angle_gamma 90.00
loop_
_atom_site_label
_atom_site_type_symbol
_atom_site_fract_x
_atom_site_fract_y
_atom_site_fract_z
_atom_site_occupancy
Pm1 Pm 0.0000 0.0000 0.0000 1
Pr1 Pr 0.0000 0.3335 0.2500 1
Hg1 Hg 0.0000 0.2008 0.7500 1
Hg2 Hg 0.1989 0.3999 0.7500 1
```



Short version: model one is the most stable of them.



Model one:
Crystalline PmPr6Hg at its relaxed geometry. Source: Alexandria via LeMat-Bulk, functional PBE.

Structure (CIF):
```
data_PmPr6Hg
_space_group_name_H-M_alt 'P -1'
_space_group_IT_number 2
_space_group_name_Hall '-P 1'
_cell_length_a 6.6821
_cell_length_b 6.7021
_cell_length_c 9.0317
_cell_angle_alpha 111.52
_cell_angle_beta 90.16
_cell_angle_gamma 119.72
loop_
_atom_site_label
_atom_site_type_symbol
_atom_site_fract_x
_atom_site_fract_y
_atom_site_fract_z
_atom_site_occupancy
Pm1 Pm 0.0000 0.0000 0.0000 1
Pr1 Pr 0.0726 0.5321 0.2178 1
Pr2 Pr 0.3086 0.2439 0.7803 1
Pr3 Pr 0.4670 0.1528 0.2178 1
Hg1 Hg 0.5000 0.0000 0.5000 1
```



Model two:
Crystalline PmPr6Hg at its relaxed geometry. Source: Alexandria via LeMat-Bulk, functional PBE.

Structure (CIF):
```
data_PmPr6Hg
_space_group_name_H-M_alt 'P 4/m m m'
_space_group_IT_number 123
_space_group_name_Hall '-P 4 2'
_cell_length_a 5.0642
_cell_length_b 5.0642
_cell_length_c 10.4177
_cell_angle_alpha 90.00
_cell_angle_beta 90.00
_cell_angle_gamma 90.00
loop_
_atom_site_label
_atom_site_type_symbol
_atom_site_fract_x
_atom_site_fract_y
_atom_site_fract_z
_atom_site_occupancy
Pm1 Pm 0.0000 0.0000 0.0000 1
Pr1 Pr 0.0000 0.5000 0.2578 1
Pr2 Pr 0.5000 0.5000 0.0000 1
Pr3 Pr 0.5000 0.5000 0.5000 1
Hg1 Hg 0.0000 0.0000 0.5000 1
```



Short version: model two is the most stable of them.



Model one:
Crystalline PmPr6Hg2 at its relaxed geometry. Source: Alexandria via LeMat-Bulk, functional PBE.

Structure (CIF):
```
data_PmPr6Hg2
_space_group_name_H-M_alt 'C 1 2/c 1'
_space_group_IT_number 15
_space_group_name_Hall '-C 2yc'
_cell_length_a 15.8416
_cell_length_b 11.7445
_cell_length_c 6.3032
_cell_angle_alpha 90.00
_cell_angle_beta 95.66
_cell_angle_gamma 90.00
loop_
_atom_site_label
_atom_site_type_symbol
_atom_site_fract_x
_atom_site_fract_y
_atom_site_fract_z
_atom_site_occupancy
Pm1 Pm 0.0000 0.1039 0.2500 1
Pr1 Pr 0.0586 0.3790 0.5055 1
Pr2 Pr 0.1175 0.1522 0.8104 1
Pr3 Pr 0.2265 0.1243 0.3315 1
Hg1 Hg 0.1652 0.3739 0.0959 1
```



Model two:
Crystalline PmPr6Hg2 at its relaxed geometry. Source: Alexandria via LeMat-Bulk, functional PBE.

Structure (CIF):
```
data_PmPr6Hg2
_space_group_name_H-M_alt 'C 1 2/m 1'
_space_group_IT_number 12
_space_group_name_Hall '-C 2y'
_cell_length_a 13.1033
_cell_length_b 3.8425
_cell_length_c 12.4071
_cell_angle_alpha 90.00
_cell_angle_beta 108.63
_cell_angle_gamma 90.00
loop_
_atom_site_label
_atom_site_type_symbol
_atom_site_fract_x
_atom_site_fract_y
_atom_site_fract_z
_atom_site_occupancy
Pm1 Pm 0.0000 0.0000 0.0000 1
Pr1 Pr 0.0228 0.0000 0.3369 1
Pr2 Pr 0.1854 0.5000 0.8755 1
Pr3 Pr 0.1894 0.5000 0.5899 1
Hg1 Hg 0.1412 0.5000 0.1977 1
```



Short version: model two is the most stable of them.